Entry from the Alexandria database: LaHg2MoPb after structural relaxation (PBE).

Summary:
D(E_F)   2.78 states/eV/atom
Density   7.16 g/cm3
Total DFT energy (no corrections)   -2.26 eV per atom
Symmetry   P4/mmm, No. 123
Energy relative to the elements   8.75 eV/f.u.
Crystal system   tetragonal

abc: 5.7138 5.9906 5.7138
angles: 90.00 90.00 90.00
Last column: nearest neighbours and their distance in Å.
Fractional coordinates of all 5 atoms:
Pb 0.0000 0.5000 0.0000  2 La 3.00
Mo 0.5000 0.5000 0.5000  4 Pb 4.04, 8 Hg 4.14
Hg 0.0000 0.0000 0.5000  2 La 2.86
Hg 0.5000 0.0000 0.0000  2 La 2.86
La 0.0000 0.0000 0.0000  4 Hg 2.86, 2 Pb 3.00